# 1
DFT (PBE) results for a relaxed structure of Rb4BaPa3S12.

a b c (Å): 10.926 10.926 10.926
angles (deg): 90.00 90.00 90.00
Space group Im-3m (No. 229)
Asymmetric unit:
Rb 0.250 0.250 0.250 (multiplicity 8)
Ba 0.000 0.000 0.000 (multiplicity 2)
Pa 0.000 0.000 0.500 (multiplicity 6)
S 0.000 0.000 0.272 (multiplicity 12)
S 0.000 0.250 0.500 (multiplicity 12)

Properties
Its formation energy (no corrections) is -128.8 kJ/mol of atoms. As for the crystal system: cubic.

---

# 2
DFT (PBE) results for a relaxed structure of ScRePb.

a b c (Å): 3.538 5.082 13.778
angles (deg): 90.00 90.00 90.00
Space group Fmm2 (No. 42)
Asymmetric unit:
Sc 0.000 0.000 0.000 (multiplicity 4)
Re 0.000 0.000 0.645 (multiplicity 4)
Pb 0.000 0.000 0.310 (multiplicity 4)

Properties
As for the crystal system: orthorhombic. The value obtained for the calculated formation energy is 1.21 eV/f.u. The value obtained for the distance to the lowest polymorph of the same formula is 0.242 eV per atom.

---

# 3
DFT (PBE) results for a relaxed structure of LiOs2Pb.

a b c (Å): 2.939 2.939 8.442
angles (deg): 90.00 90.00 90.00
Space group P4mm (No. 99)
Asymmetric unit:
Li 0.000 0.000 0.000 (multiplicity 1)
Os 0.000 0.000 0.408 (multiplicity 1)
Os 0.500 0.500 0.225 (multiplicity 1)
Pb 0.500 0.500 0.677 (multiplicity 1)

Properties
As for the crystal system: tetragonal. The value obtained for the calculated formation energy is 1.49 eV/f.u.

---

# 4
DFT (PBE) results for a relaxed structure of Nd5SbIr2.

a b c (Å): 8.073 8.073 13.698
angles (deg): 90.00 90.00 90.00
Space group I4/mcm (No. 140)
Asymmetric unit:
Nd 0.000 0.000 0.000 (multiplicity 4)
Nd 0.159 0.341 0.135 (multiplicity 16)
Sb 0.000 0.000 0.250 (multiplicity 4)
Ir 0.139 0.361 0.500 (multiplicity 8)

Properties
Its formation energy (no corrections) is -69.5 kJ/mol of atoms. As for the crystal system: tetragonal.

---

no.,total DFT energy (no corrections) (eV per cell),magnetization (μB per cell)
1,-221.0,0.00
2,-85.1,0.00
3,-26.6,0.00
4,-205.8,0.00